The following is a DFT calculation (GGA-PBE) of a relaxed structure of Li4EuCu.

Unit cell a=5.5371 b=5.5371 c=5.5371 alpha=60.00 beta=60.00 gamma=60.00
Site moments in Bohr magnetons follow the coordinates.
Fractional positions:
Li: 0.6277 0.6277 0.6277  0.02
Li: 0.1168 0.6277 0.6277  0.02
Li: 0.6277 0.6277 0.1168  0.02
Li: 0.6277 0.1168 0.6277  0.02
Eu: 0.2500 0.2500 0.2500  6.98
Cu: 0.0000 0.0000 0.0000  -0.03

Computed properties:
- formation enthalpy at 0 K (eV/atom) = 0.11
- total magnetization (Bohr magnetons per cell) = 7.86
- symmetry = F-43m, No. 216